First-principles (GGA+U) data for a relaxed MnCr2O crystal, as listed in Alexandria via LeMat-Bulk.

abc: 6.006 6.006 6.006
angles: 119.56 119.56 90.77
Atoms (fractional coordinates):
Mn 0.000 0.000 0.000
Mn 0.750 0.250 0.500
Cr 0.269 0.125 0.644
Cr 0.375 0.731 0.856
Cr 0.481 0.625 0.356
Cr 0.875 0.519 0.144
O 0.250 0.750 0.500
O 0.500 0.500 0.000

E above lowest polymorph, eV per formula unit: 0.00
Fermi-level density of states, states/eV/cell: 0.9
Space group: I-42d, No. 122